1.
HoTm2Hg4 | Alexandria via LeMat-Bulk | GGA-PBE | optimized geometry; symmetry = R-3m; energy of formation from the pure elements = -0.327 eV/atom; raw total energy = -0.089 Ha/atom; volume = 27.050 A^3/atom; relative energy among the computed polymorphs = 0.0 meV per atom
1.0
2.528 1.460 8.553
-2.528 1.460 8.553
0.000 -2.919 8.553
Ho Tm Hg
1 2 4
Cartesian
0.000 0.000 0.000
0.000 0.000 6.287
0.000 0.000 19.373
0.000 0.000 3.256
0.000 0.000 9.672
0.000 0.000 15.988
0.000 0.000 22.404

***

2.
HoTmHg | Alexandria via LeMat-Bulk | GGA-PBE | optimized geometry; symmetry = P3m1; energy of formation from the pure elements = -0.179 eV/atom; raw total energy = -0.121 Ha/atom; volume = 27.408 A^3/atom; relative energy among the computed polymorphs = 130.3 meV per atom
1.0
5.106 0.000 0.000
-2.553 4.422 0.000
0.000 0.000 3.641
Ho Tm Hg
1 1 1
Cartesian
0.000 0.000 0.000
0.000 2.948 1.709
2.553 1.474 2.518

***

3.
Ho9Tm4Hg11 | Alexandria via LeMat-Bulk | GGA-PBE | optimized geometry; symmetry = Cmmm; energy of formation from the pure elements = -0.367 eV/atom; raw total energy = -0.109 Ha/atom; volume = 25.732 A^3/atom
1.0
7.846 -11.135 0.000
7.846 11.135 0.000
0.000 0.000 3.534
Ho Tm Hg
9 4 11
Cartesian
0.000 0.000 0.000
6.046 5.859 0.000
6.046 1.986 0.000
9.646 5.859 0.000
6.046 -1.986 0.000
9.647 1.986 0.000
6.046 -5.859 0.000
9.647 -1.986 0.000
9.646 -5.859 0.000
2.539 1.922 0.000
2.539 -1.922 0.000
13.154 1.922 0.000
13.154 -1.922 0.000
4.161 3.963 1.767
7.846 8.269 1.767
4.273 0.000 1.767
7.846 3.927 1.767
4.161 -3.963 1.767
7.846 0.000 1.767
11.532 3.963 1.767
7.846 -3.927 1.767
11.420 0.000 1.767
7.846 -8.269 1.767
11.532 -3.963 1.767

***

| no. | DOS at the Fermi energy (states/eV per cell) |
| --- | --- |
| 1 | 5.7 |
| 2 | 3.3 |
| 3 | 23.1 |